1.
Material: LiPmCdPd
Method: DFT, PBE-GGA
State: relaxed

a = 6.920 Å, b = 6.920 Å, c = 6.920 Å
α = 90.00°, β = 90.00°, γ = 90.00°
Space group F-43m (No. 216)
Asymmetric unit:
Li1 0.000 0.000 0.000 (multiplicity 4)
Pm1 0.250 0.250 0.750 (multiplicity 4)
Cd1 0.250 0.250 0.250 (multiplicity 4)
Pd1 0.000 0.000 0.500 (multiplicity 4)

Values from the calculation:
Energy relative to the elements = -434 meV/atom
V = 20.7 Å³/atom
Spin magnetization = 0.01 μB per formula unit



2.
Material: Li2Pm2CdPd5
Method: DFT, PBE-GGA
State: relaxed

a = 9.637 Å, b = 9.637 Å, c = 3.823 Å
α = 90.00°, β = 90.00°, γ = 90.00°
Space group P4/mbm (No. 127)
Asymmetric unit:
Li1 0.118 0.382 0.000 (multiplicity 4)
Pm1 0.181 0.681 0.000 (multiplicity 4)
Cd1 0.000 0.000 0.000 (multiplicity 2)
Pd1 0.000 0.500 0.500 (multiplicity 2)
Pd2 0.067 0.211 0.500 (multiplicity 8)

Values from the calculation:
Energy relative to the elements = -608 meV/atom
V = 17.8 Å³/atom
Spin magnetization = 0.00 μB per formula unit



3.
Material: LiPrCd2Pd4
Method: DFT, PBE-GGA
State: relaxed

a = 4.6373 Å, b = 4.6373 Å, c = 24.1999 Å
α = 90.00°, β = 90.00°, γ = 120.00°
Space group R-3m (No. 166, hexagonal axes)
Asymmetric unit:
Li1 0.0000 0.0000 0.0000 (multiplicity 3)
Pr1 0.0000 0.0000 0.5000 (multiplicity 3)
Cd1 0.0000 0.0000 0.2585 (multiplicity 6)
Pd1 0.0000 0.0000 0.1049 (multiplicity 6)
Pd2 0.0000 0.0000 0.3742 (multiplicity 6)

Values from the calculation:
Energy relative to the elements = -525 meV/atom
V = 18.8 Å³/atom
Spin magnetization = 0.00 μB per formula unit



4.
Material: LiPrCd2Pd2
Method: DFT, PBE-GGA
State: relaxed

a = 5.369 Å, b = 5.369 Å, c = 10.190 Å
α = 90.00°, β = 90.00°, γ = 90.00°
Space group I4/mmm (No. 139)
Asymmetric unit:
Li1 0.000 0.000 0.000 (multiplicity 2)
Pr1 0.000 0.000 0.500 (multiplicity 2)
Cd1 0.000 0.500 0.250 (multiplicity 4)
Pd1 0.000 0.000 0.230 (multiplicity 4)

Values from the calculation:
Energy relative to the elements = -207 meV/atom
V = 24.5 Å³/atom
Spin magnetization = 0.00 μB per formula unit



5.
Material: Li2Pr2CdPd5
Method: DFT, PBE-GGA
State: relaxed

a = 9.684 Å, b = 9.684 Å, c = 3.862 Å
α = 90.00°, β = 90.00°, γ = 90.00°
Space group P4/mbm (No. 127)
Asymmetric unit:
Li1 0.117 0.383 0.000 (multiplicity 4)
Pr1 0.181 0.681 0.000 (multiplicity 4)
Cd1 0.000 0.000 0.000 (multiplicity 2)
Pd1 0.000 0.500 0.500 (multiplicity 2)
Pd2 0.067 0.211 0.500 (multiplicity 8)

Values from the calculation:
Energy relative to the elements = -587 meV/atom
V = 18.1 Å³/atom
Spin magnetization = 0.00 μB per formula unit



6.
Material: LiPr2Cd2Pd5
Method: DFT, PBE-GGA
State: relaxed

a = 10.534 Å, b = 10.534 Å, c = 3.664 Å
α = 90.00°, β = 90.00°, γ = 90.00°
Space group P4/mbm (No. 127)
Asymmetric unit:
Li1 0.000 0.000 0.000 (multiplicity 2)
Pr1 0.169 0.331 0.000 (multiplicity 4)
Cd1 0.132 0.632 0.000 (multiplicity 4)
Pd1 0.000 0.500 0.500 (multiplicity 2)
Pd2 0.039 0.808 0.500 (multiplicity 8)

Values from the calculation:
Energy relative to the elements = -409 meV/atom
V = 20.3 Å³/atom
Spin magnetization = 0.00 μB per formula unit



7.
Material: LiPrCdPd
Method: DFT, PBE-GGA
State: relaxed

a = 6.985 Å, b = 6.985 Å, c = 6.985 Å
α = 90.00°, β = 90.00°, γ = 90.00°
Space group F-43m (No. 216)
Asymmetric unit:
Li1 0.000 0.000 0.000 (multiplicity 4)
Pr1 0.250 0.250 0.250 (multiplicity 4)
Cd1 0.250 0.250 0.750 (multiplicity 4)
Pd1 0.000 0.000 0.500 (multiplicity 4)

Values from the calculation:
Energy relative to the elements = -415 meV/atom
V = 21.3 Å³/atom
Spin magnetization = 0.00 μB per formula unit



8.
Material: Li2Cd5Pd2Pt
Method: DFT, PBE-GGA
State: relaxed

a = 9.905 Å, b = 9.905 Å, c = 4.019 Å
α = 90.00°, β = 90.00°, γ = 90.00°
Space group P4/mbm (No. 127)
Asymmetric unit:
Li1 0.170 0.330 0.000 (multiplicity 4)
Cd1 0.000 0.500 0.500 (multiplicity 2)
Cd2 0.080 0.809 0.500 (multiplicity 8)
Pd1 0.128 0.628 0.000 (multiplicity 4)
Pt1 0.000 0.000 0.000 (multiplicity 2)

Values from the calculation:
Energy relative to the elements = -289 meV/atom
V = 19.7 Å³/atom
Spin magnetization = 0.00 μB per formula unit



9.
Material: Li5Cd2Pd2Pt
Method: DFT, PBE-GGA
State: relaxed

a = 10.365 Å, b = 10.365 Å, c = 3.006 Å
α = 90.00°, β = 90.00°, γ = 90.00°
Space group P4/mbm (No. 127)
Asymmetric unit:
Li1 0.000 0.500 0.000 (multiplicity 2)
Li2 0.054 0.188 0.000 (multiplicity 8)
Cd1 0.170 0.670 0.500 (multiplicity 4)
Pd1 0.136 0.364 0.500 (multiplicity 4)
Pt1 0.000 0.000 0.500 (multiplicity 2)

Values from the calculation:
Energy relative to the elements = -341 meV/atom
V = 16.1 Å³/atom
Spin magnetization = 0.00 μB per formula unit



10.
Material: Li2PuCdPd2
Method: DFT, PBE-GGA
State: relaxed

a = 4.3783 Å, b = 4.3783 Å, c = 6.6660 Å
α = 90.00°, β = 90.00°, γ = 120.00°
Space group P-3m1 (No. 164)
Asymmetric unit:
Li1 0.3333 0.6667 0.1556 (multiplicity 2)
Pu1 0.0000 0.0000 0.5000 (multiplicity 1)
Cd1 0.0000 0.0000 0.0000 (multiplicity 1)
Pd1 0.3333 0.6667 0.7409 (multiplicity 2)

Values from the calculation:
Energy relative to the elements = -328 meV/atom
V = 18.4 Å³/atom
Spin magnetization = 5.49 μB per formula unit



11.
Material: LiPuCdPd
Method: DFT, PBE-GGA
State: relaxed

a = 6.878 Å, b = 6.878 Å, c = 6.878 Å
α = 90.00°, β = 90.00°, γ = 90.00°
Space group F-43m (No. 216)
Asymmetric unit:
Li1 0.000 0.000 0.000 (multiplicity 4)
Pu1 0.250 0.250 0.250 (multiplicity 4)
Cd1 0.250 0.250 0.750 (multiplicity 4)
Pd1 0.000 0.000 0.500 (multiplicity 4)

Values from the calculation:
Energy relative to the elements = -205 meV/atom
V = 20.3 Å³/atom
Spin magnetization = 5.93 μB per formula unit



12.
Material: Li2Cd5Pd2Rh
Method: DFT, PBE-GGA
State: relaxed

a = 9.768 Å, b = 9.768 Å, c = 4.072 Å
α = 90.00°, β = 90.00°, γ = 90.00°
Space group P4/mbm (No. 127)
Asymmetric unit:
Li1 0.170 0.330 0.000 (multiplicity 4)
Cd1 0.000 0.500 0.500 (multiplicity 2)
Cd2 0.079 0.809 0.500 (multiplicity 8)
Pd1 0.128 0.628 0.000 (multiplicity 4)
Rh1 0.000 0.000 0.000 (multiplicity 2)

Values from the calculation:
Energy relative to the elements = -236 meV/atom
V = 19.4 Å³/atom
Spin magnetization = 0.00 μB per formula unit